Version a
Y2SN (PBE-GGA, relaxed); symmetry = I-42d, No. 122
1.0
-4.783 -2.933 1.690
2.792 -5.072 -0.899
0.757 -3.937 5.468
Y S N
4 2 2
Direct
0.566 0.125 0.250 Y
0.184 0.625 0.250 Y
0.375 0.434 0.750 Y
0.875 0.816 0.750 Y
0.000 0.000 0.000 S
0.750 0.250 0.500 S
0.500 0.500 0.000 N
0.250 0.750 0.500 N

Version b
Y2SN (PBE-GGA, relaxed); symmetry = R3m, No. 160
1.0
-2.569 -1.540 -2.004
0.884 -1.783 -3.004
0.042 -6.543 1.733
Y S N
2 1 1
Direct
0.068 0.068 0.797 Y
0.264 0.264 0.209 Y
0.499 0.499 0.503 S
0.670 0.670 0.991 N

Version c
Y2SN (PBE-GGA, relaxed); symmetry = Pmn2_1, No. 31
1.0
-0.803 2.726 2.629
-4.403 -3.177 1.948
5.041 -3.694 5.370
Y S N
4 2 2
Direct
0.701 0.658 0.197 Y
0.701 0.540 0.755 Y
0.201 0.040 0.461 Y
0.201 0.158 0.019 Y
0.201 0.863 0.765 S
0.701 0.363 0.451 S
0.201 0.873 0.216 N
0.701 0.373 0.000 N

Version d
Y2SN (PBE-GGA, relaxed); symmetry = R-3m, No. 166
1.0
3.632 0.000 0.000
1.816 3.145 0.000
1.816 1.048 6.280
Y S N
2 1 1
Direct
0.236 0.236 0.291 Y
0.764 0.764 0.709 Y
0.000 0.000 0.000 S
0.500 0.500 0.500 N

Bottom line: version d, by a margin of 56 meV/atom.

Version a
YSN (PBE-GGA, relaxed); symmetry = P-1, No. 2
1.0
-0.941 -0.747 -5.499
2.574 3.119 -7.359
0.396 -4.995 1.558
Y S N
2 2 2
Direct
0.364 0.838 0.470 Y
0.559 0.187 0.308 Y
0.851 0.845 0.558 S
0.072 0.179 0.220 S
0.269 0.628 0.955 N
0.654 0.396 0.823 N

Version b
YSN (PBE-GGA, relaxed); symmetry = P2_1/c, No. 14
1.0
3.923 0.000 0.000
0.000 7.169 -0.423
0.000 -0.414 7.461
Y N S
4 4 4
Direct
0.249 0.662 0.756 Y
0.749 0.838 0.244 Y
0.751 0.338 0.244 Y
0.251 0.162 0.756 Y
0.430 0.926 0.968 N
0.930 0.574 0.032 N
0.570 0.074 0.032 N
0.070 0.426 0.968 N
0.270 0.607 0.363 S
0.770 0.893 0.637 S
0.730 0.393 0.637 S
0.230 0.107 0.363 S

Bottom line: version a, by a margin of 55 meV/atom.

Version a
Y4S3N (PBE-GGA, relaxed); symmetry = Cmmm, No. 65
1.0
-2.155 2.633 -1.613
-5.042 -1.667 4.014
3.602 4.757 2.952
Y S N
4 3 1
Direct
0.000 0.217 0.217 Y
0.500 0.772 0.228 Y
0.000 0.783 0.783 Y
0.500 0.228 0.772 Y
0.000 0.000 0.500 S
0.500 0.500 0.500 S
0.000 0.500 0.000 S
0.500 0.000 0.000 N

Version b
Y4S3N (PBE-GGA, relaxed); symmetry = Pm-3m, No. 221
1.0
5.406 0.000 0.000
0.000 5.406 0.000
0.000 0.000 5.406
Y S N
4 3 1
Direct
0.500 0.000 0.000 Y
0.000 0.500 0.000 Y
0.000 0.000 0.500 Y
0.500 0.500 0.500 Y
0.000 0.500 0.500 S
0.500 0.000 0.500 S
0.500 0.500 0.000 S
0.000 0.000 0.000 N

Bottom line: version a, by a margin of 122 meV/atom.

Version a
YZnS2N (PBE-GGA, relaxed); symmetry = P4/mmm, No. 123
1.0
-3.923 1.868 2.100
-1.877 -4.425 0.431
1.656 -0.369 3.422
Y Zn S N
1 1 2 1
Direct
0.500 0.500 0.500 Y
0.000 0.000 0.000 Zn
0.000 0.500 0.000 S
0.500 0.000 0.000 S
0.000 0.000 0.500 N

Version b
YZnS2N (PBE-GGA, relaxed); symmetry = P4/mmm, No. 123
1.0
5.302 0.000 0.000
0.000 5.302 0.000
0.000 0.000 4.483
Y Zn S N
1 1 2 1
Direct
0.000 0.000 0.000 Y
0.500 0.500 0.500 Zn
0.000 0.500 0.000 S
0.500 0.000 0.000 S
0.000 0.000 0.500 N

Bottom line: version a, by a margin of 461 meV/atom.

Version a
ZnS3N (PBE-GGA, relaxed); symmetry = Pm-3m, No. 221
1.0
-1.199 -2.644 -2.945
-0.097 -3.056 2.784
-3.956 0.876 0.824
Zn S N
1 3 1
Direct
0.500 0.500 0.500 Zn
0.000 0.500 0.000 S
0.000 0.000 0.500 S
0.500 0.000 0.000 S
0.000 0.000 0.000 N

Version b
ZnS3N (PBE-GGA, relaxed); symmetry = Pm-3m, No. 221
1.0
-0.484 3.485 3.088
-1.869 -2.989 3.080
4.265 -0.914 1.701
Zn S N
1 3 1
Direct
0.000 0.000 0.000 Zn
0.000 0.500 0.000 S
0.000 0.000 0.500 S
0.500 0.000 0.000 S
0.500 0.500 0.500 N

Bottom line: version a, by a margin of 639 meV/atom.

Version a
ZnSN (PBE-GGA, relaxed); symmetry = Immm, No. 71
1.0
3.902 0.000 -0.817
-0.201 3.981 -0.959
0.091 0.344 10.167
Zn S N
2 2 2
Direct
0.751 0.751 0.502 Zn
0.249 0.249 0.498 Zn
0.182 0.682 0.365 S
0.818 0.318 0.635 S
0.500 0.636 0.000 N
0.500 0.364 0.000 N

Version b
ZnSN (PBE-GGA, relaxed); symmetry = C2/m, No. 12
1.0
4.933 0.555 -0.450
2.945 3.996 -0.450
1.017 0.588 5.536
N Zn S
2 2 2
Direct
0.368 0.368 0.029 N
0.385 0.385 0.279 N
0.575 0.575 0.406 Zn
0.178 0.178 0.902 Zn
0.222 0.222 0.443 S
0.531 0.531 0.864 S

Bottom line: version a, by a margin of 667 meV/atom.